! KSmCoO4 PBE with a Hubbard U optimized geometry; values from VASP
! VASP energy   -0.231 hartree per atom
! Space group   P2_1/m (11)
&SYSTEM
  ibrav = 0, nat = 14, ntyp = 4
/
ATOMIC_SPECIES
K 39.10 K.upf
Sm 150.36 Sm.upf
Co 58.93 Co.upf
O 16.00 O.upf
ATOMIC_POSITIONS angstrom
K 2.097 4.379 6.650
K 1.568 1.460 0.557
Sm 3.654 4.379 3.278
Sm 0.012 1.460 3.929
Co 0.763 4.379 2.374
Co 2.903 1.460 4.833
O 4.094 2.835 4.971
O -0.428 5.755 2.236
O -0.428 3.004 2.236
O 4.094 0.084 4.971
O 2.241 4.379 1.384
O 1.425 1.460 5.823
O 1.388 4.379 4.042
O 2.278 1.460 3.165
CELL_PARAMETERS angstrom
5.840 0.000 0.097
0.000 5.839 0.000
-2.175 0.000 7.109